1.
Ti5NbC6 after structural relaxation. Source: the Alexandria database, functional PBE.

The calculation puts the total DFT energy (no corrections) at -9.520 eV/atom. For the energy of formation from the pure elements, the calculation gives -0.78 eV/atom. Its density of states at the Fermi level is 4.9 states/eV per cell. The magnetic moment is 0.0 μB per cell.

The structure belongs to space group C2/m (No. 12); the cell edges are 5.352, 9.264 and 5.347 Å and the angles 90.00°, 109.50° and 90.00°. The asymmetric unit holds Ti at (0.000, 0.000, 0.000), Ti at (0.000, 0.167, 0.500), Ti at (0.000, 0.333, 0.000), Nb at (0.000, 0.500, 0.500), C at (0.247, 0.000, 0.752) and C at (0.248, 0.168, 0.248).

2.
CaGaAg3 after structural relaxation. Source: the Alexandria database, functional PBE.

The calculation puts the total DFT energy (no corrections) at -1.935 eV/atom. For the energy of formation from the pure elements, the calculation gives 0.78 eV/atom. Its density of states at the Fermi level is 2.0 states/eV per cell. The magnetic moment is 0.0 μB per cell.

The structure belongs to space group Pm-3m (No. 221); the cell edges are 5.531, 5.531 and 5.531 Å and the angles 90.00°, 90.00° and 90.00°. The asymmetric unit holds Ca at (0.000, 0.000, 0.000), Ga at (0.500, 0.500, 0.500) and Ag at (0.000, 0.000, 0.500).

3.
YGeSeN2 after structural relaxation. Source: the Alexandria database, functional PBE.

The uncorrected formation energy is 0.16 eV per atom. The calculation puts the energy above the most stable polymorph in this dataset at 0.000 eV/atom. The calculation puts the total DFT energy (no corrections) at -6.079 eV/atom. Its density of states at the Fermi level is 1.0 states/eV per cell. The magnetic moment is 0.6 μB per cell.

The structure belongs to space group P4/mmm (No. 123); the cell edges are 3.939, 3.939 and 5.102 Å and the angles 90.00°, 90.00° and 90.00°. The asymmetric unit holds Y at (0.000, 0.000, 0.000), Ge at (0.500, 0.500, 0.500), Se at (0.500, 0.500, 0.000) and N at (0.000, 0.500, 0.500).

4.
BAuI after structural relaxation. Source: the Alexandria database, functional PBE.

The uncorrected formation energy is 0.32 eV per atom. The calculation puts the energy above the most stable polymorph in this dataset at 0.000 eV/atom. The calculation puts the total DFT energy (no corrections) at -3.516 eV/atom. The magnetic moment is 0.0 μB per cell.

The structure belongs to space group P2_1/c (No. 14); the cell edges are 8.996, 5.466 and 7.580 Å and the angles 90.00°, 101.32° and 90.00°. The asymmetric unit holds B at (0.045, 0.032, 0.106), Au at (0.111, 0.733, 0.809) and I at (0.300, 0.102, 0.134).

5.
TmCoGe3 after structural relaxation. Source: the Alexandria database, functional PBE.

The calculation puts the total DFT energy (no corrections) at -5.544 eV/atom. For the energy of formation from the pure elements, the calculation gives -0.46 eV/atom. Its density of states at the Fermi level is 9.7 states/eV per cell. The magnetic moment is 0.0 μB per cell.

The structure belongs to space group Pnma (No. 62); the cell edges are 8.376, 4.013 and 10.267 Å and the angles 90.00°, 90.00° and 90.00°. The asymmetric unit holds Tm at (0.199, 0.250, 0.037), Co at (0.082, 0.250, 0.345), Ge at (0.054, 0.250, 0.582), Ge at (0.113, 0.750, 0.832) and Ge at (0.186, 0.750, 0.248).

6.
PmMg4Pb5 after structural relaxation. Source: the Alexandria database, functional PBE.

The calculation puts the total DFT energy (no corrections) at -3.090 eV/atom. For the energy of formation from the pure elements, the calculation gives -0.12 eV/atom. Its density of states at the Fermi level is 5.1 states/eV per cell. The magnetic moment is 0.0 μB per cell.

The structure belongs to space group P4/mmm (No. 123); the cell edges are 3.833, 3.833 and 18.306 Å and the angles 90.00°, 90.00° and 90.00°. The asymmetric unit holds Pm at (0.000, 0.000, 0.000), Mg at (0.000, 0.000, 0.206), Mg at (0.000, 0.000, 0.402), Pb at (0.500, 0.500, 0.115), Pb at (0.500, 0.500, 0.305) and Pb at (0.500, 0.500, 0.500).

7.
LuHW after structural relaxation. Source: the Alexandria database, functional PBE.

The calculation puts the total DFT energy (no corrections) at -7.069 eV/atom. Its density of states at the Fermi level is 3.6 states/eV per cell. The magnetic moment is 0.0 μB per cell.

The structure belongs to space group P4/nmm (No. 129, origin choice 2); the cell edges are 3.252, 3.252 and 8.687 Å and the angles 90.00°, 90.00° and 90.00°. The asymmetric unit holds Lu at (0.250, 0.250, 0.184), H at (0.250, 0.250, 0.797) and W at (0.250, 0.250, 0.582).

8.
CaAlAs2 after structural relaxation. Source: the Alexandria database, functional PBE.

The calculation puts the energy above the most stable polymorph in this dataset at 0.265 eV/atom. The calculation puts the total DFT energy (no corrections) at -4.112 eV/atom. For the energy of formation from the pure elements, the calculation gives -0.35 eV/atom. Its density of states at the Fermi level is 4.2 states/eV per cell. The magnetic moment is 0.0 μB per cell.

The structure belongs to space group I-4m2 (No. 119); the cell edges are 4.022, 4.022 and 10.300 Å and the angles 90.00°, 90.00° and 90.00°. The asymmetric unit holds Ca at (0.000, 0.000, 0.000), Al at (0.000, 0.500, 0.750), As at (0.000, 0.000, 0.500) and As at (0.000, 0.500, 0.250).